AgMo2F8 | PBE with a Hubbard U | optimized geometry

**Space-group type**: C2/m (12)
**Final energy**: -55.2 eV/cell

```
data_AgMo2F8
_cell_length_a 6.121
_cell_length_b 6.121
_cell_length_c 4.182
_cell_angle_alpha 94.98
_cell_angle_beta 94.98
_cell_angle_gamma 108.97
_symmetry_space_group_name_H-M 'P 1'
_symmetry_Int_Tables_number 1
loop_
_symmetry_equiv_pos_as_xyz
'x,y,z'
loop_
_atom_site_label
_atom_site_type_symbol
_atom_site_fract_x
_atom_site_fract_y
_atom_site_fract_z
Ag1 Ag 0.000 0.000 0.000
Mo1 Mo 0.321 0.679 0.500
Mo2 Mo 0.679 0.321 0.500
F1 F 0.013 0.332 0.631
F2 F 0.306 0.694 0.000
F3 F 0.332 0.013 0.631
F4 F 0.352 0.352 0.311
F5 F 0.648 0.648 0.689
F6 F 0.668 0.987 0.369
F7 F 0.694 0.306 0.000
F8 F 0.987 0.668 0.369
```